No. 1
Here is a relaxed PrCd2CuAu4 crystal from Alexandria via LeMat-Bulk. Energies are from GGA-PBE.

Output
- E: -26.5 eV per cell
- Density of states at the Fermi level: 2.67 states/eV/cell
- Calculated formation energy: -0.33 eV/atom

abc: 4.7111 4.7111 9.0352
angles: 74.89 74.89 60.00
Sites, in units of the cell vectors:
Pr 0.0000 0.0000 0.0000
Cd 0.7570 0.7570 0.7290
Cd 0.2430 0.2430 0.2710
Cu 0.5000 0.5000 0.5000
Au 0.3956 0.3956 0.8132
Au 0.8687 0.8687 0.3938
Au 0.1313 0.1313 0.6062
Au 0.6044 0.6044 0.1868

---

No. 2
Here is a relaxed PrCdCuAu crystal from Alexandria via LeMat-Bulk. Energies are from GGA-PBE.

Output
- E: -14.6 eV per cell
- Density of states at the Fermi level: 3.73 states/eV/cell
- Calculated formation energy: -0.38 eV/atom

abc: 4.9714 4.9714 4.9714
angles: 60.00 60.00 60.00
Sites, in units of the cell vectors:
Pr 0.2500 0.2500 0.2500
Au 0.5000 0.5000 0.5000
Cu 0.0000 0.0000 0.0000
Cd 0.7500 0.7500 0.7500

---

No. 3
Here is a relaxed PuCd2CuAu4 crystal from Alexandria via LeMat-Bulk. Energies are from GGA-PBE.

Output
- E: -34.9 eV per cell
- Density of states at the Fermi level: 15.22 states/eV/cell
- Calculated formation energy: -0.19 eV/atom

abc: 4.7976 4.7976 8.4880
angles: 73.58 73.58 60.00
Each line ends with the local moment (μB).
Sites, in units of the cell vectors:
Pu 0.0000 0.0000 0.0000  5.21
Cd 0.7509 0.7509 0.7473  0.01
Cd 0.2491 0.2491 0.2527  0.01
Cu 0.5000 0.5000 0.5000  0.00
Au 0.3895 0.3895 0.8316  0.00
Au 0.8695 0.8695 0.3914  0.01
Au 0.1305 0.1305 0.6086  0.01
Au 0.6105 0.6105 0.1684  0.00